A relaxed structure of Ac2CeBi, computed with PBE.

Calculated values
The total energy comes out at -19.25 eV for the cell shown. As for the crystal system: tetragonal. The formation energy is -305 meV/atom. As for the total moment: 1.07 Bohr magnetons per cell.

Lattice parameters (Å, degrees): 5.258 5.258 5.106 90.00 90.00 90.00
Space group P4/mmm (No. 123)
Inequivalent atoms, fractional coordinates:
1 Ac 0.000 0.500 0.000 [2 per cell]
2 Ce 0.000 0.000 0.500 [1 per cell]
3 Bi 0.500 0.500 0.500 [1 per cell]

=====

A relaxed structure of Na2Tl5In4, computed with PBE.

Calculated values
The total energy comes out at -25.63 eV for the cell shown. As for the crystal system: triclinic. The formation energy is -19 meV/atom. As for the total moment: 0.00 Bohr magnetons per cell.

Lattice parameters (Å, degrees): 6.573 6.887 7.808 79.26 76.17 75.32
Space group P-1 (No. 2)
Inequivalent atoms, fractional coordinates:
1 Na 0.168 0.072 0.301 [2 per cell]
2 Tl 0.000 0.500 0.000 [1 per cell]
3 Tl 0.287 0.162 0.699 [2 per cell]
4 Tl 0.347 0.682 0.650 [2 per cell]
5 In 0.176 0.565 0.340 [2 per cell]
6 In 0.476 0.744 0.013 [2 per cell]